1.
Here is Li14MgZn after structural relaxation from Alexandria via LeMat-Bulk. Energies are from PBE.

Output
Energy of formation from the pure elements, eV per atom: -0.0207
Total DFT energy (no corrections), Ha/atom: -0.069
N(E_F), states/eV/atom: 0.43

a = 9.9336 Å, b = 5.9160 Å, c = 10.4332 Å
α = 90.00°, β = 90.00°, γ = 90.00°
Closest atoms and distances in Å follow each position.
Space group Amm2 (No. 38)
Asymmetric unit:
Li 0.0000 0.0000 0.0000  12 Li 2.96-3.04
Li 0.0000 0.0000 0.4969  12 Li 2.96-3.13
Li 0.0000 0.2461 0.2471  12 Li 2.91-3.09
Li 0.2418 0.0000 0.8324  11 Li 2.96-3.08, 1 Mg 3.08
Li 0.2548 0.2443 0.0841  10 Li 2.89-3.09, 1 Zn 2.96, 1 Mg 3.00
Li 0.2607 0.0000 0.3286  1 Zn 2.93, 11 Li 2.93-3.13
Li 0.5000 0.2461 0.9190  8 Li 2.91-3.08, 2 Zn 2.95-3.05, 2 Mg 2.98-3.01
Mg 0.5000 0.0000 0.6693  2 Zn 2.96, 10 Li 2.98-3.08
Zn 0.5000 0.0000 0.1649  10 Li 2.93-3.05, 2 Mg 2.96

***

2.
Here is TlIrSe2 after structural relaxation from Alexandria via LeMat-Bulk. Energies are from PBE.

Output
Total DFT energy (no corrections), Ha/atom: -0.158
Uncorrected formation energy, meV per atom: 239
Polymorph energy (0 for the lowest one), meV/atom: 547
N(E_F), states/eV/atom: 0.60

a = 3.1785 Å, b = 3.1785 Å, c = 9.3255 Å
α = 90.00°, β = 90.00°, γ = 90.00°
Closest atoms and distances in Å follow each position.
Space group P4mm (No. 99)
Asymmetric unit:
Tl 0.0000 0.0000 0.0000  4 Tl 3.18, 4 Se 3.26, 4 Ir 3.48
Ir 0.5000 0.5000 0.2851  4 Se 2.50
Se 0.0000 0.0000 0.4029  4 Ir 2.50
Se 0.5000 0.5000 0.7461  4 Se 3.18, 4 Tl 3.26

***

| no. | total magnetic moment (Bohr magnetons per cell) |
| --- | --- |
| 1 | 0.0 |
| 2 | 0.0 |